Record 1
The following is a PBE calculation of an optimized crystal structure of Sr2HPbW, from Alexandria via LeMat-Bulk.

Structure (POSCAR):
```
Sr2HPbW
1.0
-1.430 -3.064 5.307
3.445 -0.586 0.590
0.368 5.397 3.215
Pb Sr W H
1 2 1 1
direct
0.500 0.500 0.500
0.000 0.000 0.500
0.500 0.000 0.000
0.000 0.000 0.000
0.000 0.500 0.000
```

* density: 6.71 g/cm³
* DFT total energy: -3.93 eV per atom
* total magnetic moment: 2.5 μB per formula unit

Record 2
The following is a PBE calculation of an optimized crystal structure of SrY2HPb, from Alexandria via LeMat-Bulk.

Structure (POSCAR):
```
SrY2HPb
1.0
4.978 0.000 0.000
0.000 4.978 0.000
0.000 0.000 5.093
Pb Y H Sr
1 2 1 1
direct
0.500 0.500 0.500
0.000 0.500 0.000
0.500 0.000 0.000
0.000 0.000 0.000
0.000 0.000 0.500
```

* density: 6.23 g/cm³
* DFT total energy: -4.61 eV per atom
* total magnetic moment: 1.9 μB per formula unit

Record 3
The following is a PBE calculation of an optimized crystal structure of Ta2HPb, from Alexandria via LeMat-Bulk.

Structure (POSCAR):
```
Ta2HPb
1.0
5.600 0.000 0.000
0.000 5.600 0.000
2.800 2.800 4.529
Pb H Ta
2 2 4
direct
0.000 0.000 0.000
0.750 0.250 0.500
0.500 0.500 0.000
0.250 0.750 0.500
0.375 0.125 0.250
0.375 0.625 0.250
0.375 0.625 0.750
0.875 0.625 0.750
```

* density: 13.33 g/cm³
* DFT total energy: -7.22 eV per atom
* total magnetic moment: 0.0 μB per formula unit

Record 4
The following is a PBE calculation of an optimized crystal structure of Ta2HPb, from Alexandria via LeMat-Bulk.

Structure (POSCAR):
```
Ta2HPb
1.0
0.000 3.263 3.263
3.263 0.000 3.263
3.263 3.263 0.000
Pb H Ta
1 1 2
direct
0.500 0.500 0.500
0.000 0.000 0.000
0.250 0.250 0.250
0.750 0.750 0.750
```

* density: 13.63 g/cm³
* DFT total energy: -6.57 eV per atom
* total magnetic moment: 0.0 μB per formula unit

What is the formula in the fourth record?
Ta2HPb

What did the third record say?
The following is a PBE calculation of an optimized crystal structure of Ta2HPb, from Alexandria via LeMat-Bulk.

Structure (POSCAR):
```
Ta2HPb
1.0
5.600 0.000 0.000
0.000 5.600 0.000
2.800 2.800 4.529
Pb H Ta
2 2 4
direct
0.000 0.000 0.000
0.750 0.250 0.500
0.500 0.500 0.000
0.250 0.750 0.500
0.375 0.125 0.250
0.375 0.625 0.250
0.375 0.625 0.750
0.875 0.625 0.750
```

* density: 13.33 g/cm³
* DFT total energy: -7.22 eV per atom
* total magnetic moment: 0.0 μB per formula unit

Which formula does entry 2 have?
SrY2HPb

What is the density in the third record?
13.33 g/cm³